# Ca2LaHg | Alexandria via LeMat-Bulk | GGA-PBE | optimized geometry
data_Ca2LaHg
_cell_length_a 11.1725
_cell_length_b 11.1725
_cell_length_c 11.1725
_cell_angle_alpha 19.91
_cell_angle_beta 19.91
_cell_angle_gamma 19.91
_symmetry_space_group_name_H-M 'P 1'
_symmetry_Int_Tables_number 1
_symmetry_space_group_name_Hall 'P 1'
loop_
_atom_site_label
_atom_site_type_symbol
_atom_site_fract_x
_atom_site_fract_y
_atom_site_fract_z
Ca1 Ca 0.9860 0.9860 0.9860
Hg1 Hg 0.2500 0.2500 0.2500
La1 La 0.7500 0.7500 0.7500
Ca2 Ca 0.5140 0.5140 0.5140
# - M_tot (μB per cell) = 0.01
# - volume (Å³ per cell) = 141.5
# - energy of formation from the pure elements (eV per atom) = -0.16
# - space-group type = No. 166

# Ca2LaHg | Alexandria via LeMat-Bulk | GGA-PBE | optimized geometry
data_Ca2LaHg
_cell_length_a 6.5059
_cell_length_b 6.5059
_cell_length_c 6.5059
_cell_angle_alpha 135.89
_cell_angle_beta 135.89
_cell_angle_gamma 64.16
_symmetry_space_group_name_H-M 'P 1'
_symmetry_Int_Tables_number 1
_symmetry_space_group_name_Hall 'P 1'
loop_
_atom_site_label
_atom_site_type_symbol
_atom_site_fract_x
_atom_site_fract_y
_atom_site_fract_z
Ca1 Ca 0.0000 0.0000 0.0000
Hg1 Hg 0.2500 0.7500 0.5000
La1 La 0.7500 0.2500 0.5000
Ca2 Ca 0.5000 0.5000 0.0000
# - M_tot (μB per cell) = 0.00
# - volume (Å³ per cell) = 131.6
# - energy of formation from the pure elements (eV per atom) = -0.09
# - space-group type = No. 139

# Ca2LaHg | Alexandria via LeMat-Bulk | GGA-PBE | optimized geometry
data_Ca2LaHg
_cell_length_a 7.0060
_cell_length_b 7.0060
_cell_length_c 7.0060
_cell_angle_alpha 147.82
_cell_angle_beta 131.20
_cell_angle_gamma 59.66
_symmetry_space_group_name_H-M 'P 1'
_symmetry_Int_Tables_number 1
_symmetry_space_group_name_Hall 'P 1'
loop_
_atom_site_label
_atom_site_type_symbol
_atom_site_fract_x
_atom_site_fract_y
_atom_site_fract_z
Ca1 Ca 0.5430 0.5430 0.0000
La1 La 0.2500 0.7500 0.5000
Ca2 Ca 0.9570 0.9570 0.0000
Hg1 Hg 0.7500 0.2500 0.5000
# - M_tot (μB per cell) = 0.12
# - volume (Å³ per cell) = 136.6
# - energy of formation from the pure elements (eV per atom) = -0.21
# - space-group type = No. 71

# Ca2LaHg6 | Alexandria via LeMat-Bulk | GGA-PBE | optimized geometry
data_Ca2LaHg6
_cell_length_a 3.5676
_cell_length_b 8.7521
_cell_length_c 8.7521
_cell_angle_alpha 120.00
_cell_angle_beta 90.00
_cell_angle_gamma 90.00
_symmetry_space_group_name_H-M 'P 1'
_symmetry_Int_Tables_number 1
_symmetry_space_group_name_Hall 'P 1'
loop_
_atom_site_label
_atom_site_type_symbol
_atom_site_fract_x
_atom_site_fract_y
_atom_site_fract_z
Hg1 Hg 0.5000 0.6641 0.6641
Hg2 Hg 0.5000 0.0000 0.3359
Ca1 Ca 0.0000 0.3333 0.6667
Hg3 Hg 0.5000 0.0000 0.6641
Hg4 Hg 0.5000 0.3359 0.0000
Hg5 Hg 0.5000 0.3359 0.3359
Hg6 Hg 0.5000 0.6641 0.0000
Ca2 Ca 0.0000 0.6667 0.3333
La1 La 0.0000 0.0000 0.0000
# - M_tot (μB per cell) = 0.13
# - volume (Å³ per cell) = 236.7
# - energy of formation from the pure elements (eV per atom) = -0.46
# - space-group type = No. 191

# CaLa2Hg2 | Alexandria via LeMat-Bulk | GGA-PBE | optimized geometry
data_CaLa2Hg2
_cell_length_a 8.9359
_cell_length_b 8.9359
_cell_length_c 4.0038
_cell_angle_alpha 90.00
_cell_angle_beta 90.00
_cell_angle_gamma 90.00
_symmetry_space_group_name_H-M 'P 1'
_symmetry_Int_Tables_number 1
_symmetry_space_group_name_Hall 'P 1'
loop_
_atom_site_label
_atom_site_type_symbol
_atom_site_fract_x
_atom_site_fract_y
_atom_site_fract_z
Ca1 Ca 0.0000 0.0000 0.0000
La1 La 0.6635 0.8365 0.5000
Hg1 Hg 0.6334 0.1334 0.0000
La2 La 0.8365 0.3365 0.5000
La3 La 0.3365 0.1635 0.5000
La4 La 0.1635 0.6635 0.5000
Hg2 Hg 0.8666 0.6334 0.0000
Ca2 Ca 0.5000 0.5000 0.0000
Hg3 Hg 0.3666 0.8666 0.0000
Hg4 Hg 0.1334 0.3666 0.0000
# - M_tot (μB per cell) = 0.00
# - ΔE to the lowest computed polymorph (kJ/mol of formula units) = 0
# - volume (Å³ per cell) = 319.7
# - energy of formation from the pure elements (eV per atom) = -0.42
# - space-group type = No. 127

# Ca4LaHg | Alexandria via LeMat-Bulk | GGA-PBE | optimized geometry
data_Ca4LaHg
_cell_length_a 6.9313
_cell_length_b 6.9313
_cell_length_c 6.9313
_cell_angle_alpha 60.00
_cell_angle_beta 60.00
_cell_angle_gamma 60.00
_symmetry_space_group_name_H-M 'P 1'
_symmetry_Int_Tables_number 1
_symmetry_space_group_name_Hall 'P 1'
loop_
_atom_site_label
_atom_site_type_symbol
_atom_site_fract_x
_atom_site_fract_y
_atom_site_fract_z
Ca1 Ca 0.8760 0.3747 0.3747
La1 La 0.0000 0.0000 0.0000
Hg1 Hg 0.7500 0.7500 0.7500
Ca2 Ca 0.3747 0.3747 0.3747
Ca3 Ca 0.3747 0.8760 0.3747
Ca4 Ca 0.3747 0.3747 0.8760
# - M_tot (μB per cell) = 1.05
# - volume (Å³ per cell) = 235.5
# - energy of formation from the pure elements (eV per atom) = 0.26
# - space-group type = No. 216

# CaLa3Hg12 | Alexandria via LeMat-Bulk | GGA-PBE | optimized geometry
data_CaLa3Hg12
_cell_length_a 4.7666
_cell_length_b 4.7666
_cell_length_c 18.9390
_cell_angle_alpha 90.00
_cell_angle_beta 90.00
_cell_angle_gamma 90.00
_symmetry_space_group_name_H-M 'P 1'
_symmetry_Int_Tables_number 1
_symmetry_space_group_name_Hall 'P 1'
loop_
_atom_site_label
_atom_site_type_symbol
_atom_site_fract_x
_atom_site_fract_y
_atom_site_fract_z
Ca1 Ca 0.0000 0.0000 0.0000
Hg1 Hg 0.5000 0.5000 0.7503
Hg2 Hg 0.5000 0.0000 0.8775
La1 La 0.0000 0.0000 0.7556
Hg3 Hg 0.5000 0.5000 0.5000
La2 La 0.0000 0.0000 0.5000
Hg4 Hg 0.5000 0.0000 0.1225
Hg5 Hg 0.0000 0.5000 0.6263
La3 La 0.0000 0.0000 0.2444
Hg6 Hg 0.5000 0.5000 0.2497
Hg7 Hg 0.5000 0.5000 0.0000
Hg8 Hg 0.0000 0.5000 0.3737
Hg9 Hg 0.5000 0.0000 0.6263
Hg10 Hg 0.0000 0.5000 0.8775
Hg11 Hg 0.0000 0.5000 0.1225
Hg12 Hg 0.5000 0.0000 0.3737
# - M_tot (μB per cell) = 0.00
# - volume (Å³ per cell) = 430.3
# - energy of formation from the pure elements (eV per atom) = -0.37
# - space-group type = No. 123

# Ca2La2Hg3 | Alexandria via LeMat-Bulk | GGA-PBE | optimized geometry
data_Ca2La2Hg3
_cell_length_a 5.3854
_cell_length_b 5.3858
_cell_length_c 9.3720
_cell_angle_alpha 90.01
_cell_angle_beta 106.70
_cell_angle_gamma 120.00
_symmetry_space_group_name_H-M 'P 1'
_symmetry_Int_Tables_number 1
_symmetry_space_group_name_Hall 'P 1'
loop_
_atom_site_label
_atom_site_type_symbol
_atom_site_fract_x
_atom_site_fract_y
_atom_site_fract_z
Ca1 Ca 0.7459 0.3732 0.1188
La1 La 0.7532 0.8764 0.6300
Ca2 Ca 0.2541 0.6268 0.8812
Hg1 Hg 0.5053 0.7530 0.2578
Hg2 Hg 0.0000 0.0000 0.0000
Hg3 Hg 0.4947 0.2470 0.7422
La2 La 0.2468 0.1236 0.3700
# - M_tot (μB per cell) = 0.00
# - volume (Å³ per cell) = 222.1
# - energy of formation from the pure elements (eV per atom) = -0.40
# - space-group type = No. 166

# Ca2LaHg | Alexandria via LeMat-Bulk | GGA-PBE | optimized geometry
data_Ca2LaHg
_cell_length_a 3.7920
_cell_length_b 3.7920
_cell_length_c 9.7265
_cell_angle_alpha 90.00
_cell_angle_beta 90.00
_cell_angle_gamma 90.00
_symmetry_space_group_name_H-M 'P 1'
_symmetry_Int_Tables_number 1
_symmetry_space_group_name_Hall 'P 1'
loop_
_atom_site_label
_atom_site_type_symbol
_atom_site_fract_x
_atom_site_fract_y
_atom_site_fract_z
La1 La 0.5000 0.5000 0.7008
Ca1 Ca 0.0000 0.0000 0.0015
Hg1 Hg 0.0000 0.0000 0.4929
Ca2 Ca 0.5000 0.5000 0.3048
# - M_tot (μB per cell) = 0.00
# - volume (Å³ per cell) = 139.9
# - energy of formation from the pure elements (eV per atom) = -0.25
# - space-group type = No. 99

# Ca3LaHg4 | Alexandria via LeMat-Bulk | GGA-PBE | optimized geometry
data_Ca3LaHg4
_cell_length_a 5.3967
_cell_length_b 5.3967
_cell_length_c 9.4134
_cell_angle_alpha 73.34
_cell_angle_beta 73.34
_cell_angle_gamma 60.00
_symmetry_space_group_name_H-M 'P 1'
_symmetry_Int_Tables_number 1
_symmetry_space_group_name_Hall 'P 1'
loop_
_atom_site_label
_atom_site_type_symbol
_atom_site_fract_x
_atom_site_fract_y
_atom_site_fract_z
Hg1 Hg 0.8744 0.8744 0.3767
Hg2 Hg 0.6233 0.6233 0.1301
Ca1 Ca 0.5000 0.5000 0.5000
La1 La 0.0000 0.0000 0.0000
Ca2 Ca 0.2476 0.2476 0.2572
Hg3 Hg 0.3767 0.3767 0.8699
Ca3 Ca 0.7524 0.7524 0.7428
Hg4 Hg 0.1256 0.1256 0.6233
# - M_tot (μB per cell) = 0.00
# - volume (Å³ per cell) = 224.0
# - energy of formation from the pure elements (eV per atom) = -0.55
# - space-group type = No. 166

# Ca2LaHg | Alexandria via LeMat-Bulk | GGA-PBE | optimized geometry
data_Ca2LaHg
_cell_length_a 3.8587
_cell_length_b 3.8587
_cell_length_c 11.1194
_cell_angle_alpha 80.01
_cell_angle_beta 80.01
_cell_angle_gamma 60.00
_symmetry_space_group_name_H-M 'P 1'
_symmetry_Int_Tables_number 1
_symmetry_space_group_name_Hall 'P 1'
loop_
_atom_site_label
_atom_site_type_symbol
_atom_site_fract_x
_atom_site_fract_y
_atom_site_fract_z
Ca1 Ca 0.2632 0.2632 0.2105
La1 La 0.5008 0.5008 0.4975
Ca2 Ca 0.0699 0.0699 0.7904
Hg1 Hg 0.6661 0.6661 0.0017
# - M_tot (μB per cell) = 0.00
# - volume (Å³ per cell) = 140.5
# - energy of formation from the pure elements (eV per atom) = -0.17
# - space-group type = No. 160

# Ca2La2Hg | Alexandria via LeMat-Bulk | GGA-PBE | optimized geometry
data_Ca2La2Hg
_cell_length_a 7.9004
_cell_length_b 7.9004
_cell_length_c 5.8241
_cell_angle_alpha 90.00
_cell_angle_beta 90.00
_cell_angle_gamma 90.00
_symmetry_space_group_name_H-M 'P 1'
_symmetry_Int_Tables_number 1
_symmetry_space_group_name_Hall 'P 1'
loop_
_atom_site_label
_atom_site_type_symbol
_atom_site_fract_x
_atom_site_fract_y
_atom_site_fract_z
La1 La 0.6596 0.8404 0.5000
Hg1 Hg 0.5000 0.5000 0.0000
La2 La 0.3404 0.1596 0.5000
La3 La 0.8404 0.3404 0.5000
La4 La 0.1596 0.6596 0.5000
Ca1 Ca 0.8491 0.6509 0.0000
Hg2 Hg 0.0000 0.0000 0.0000
Ca2 Ca 0.6509 0.1509 0.0000
Ca3 Ca 0.1509 0.3491 0.0000
Ca4 Ca 0.3491 0.8491 0.0000
# - M_tot (μB per cell) = 0.00
# - ΔE to the lowest computed polymorph (kJ/mol of formula units) = 4
# - volume (Å³ per cell) = 363.5
# - energy of formation from the pure elements (eV per atom) = 0.03
# - space-group type = No. 127

# CaLaHg6 | Alexandria via LeMat-Bulk | GGA-PBE | optimized geometry
data_CaLaHg6
_cell_length_a 5.2966
_cell_length_b 5.6361
_cell_length_c 6.9151
_cell_angle_alpha 90.00
_cell_angle_beta 90.00
_cell_angle_gamma 90.00
_symmetry_space_group_name_H-M 'P 1'
_symmetry_Int_Tables_number 1
_symmetry_space_group_name_Hall 'P 1'
loop_
_atom_site_label
_atom_site_type_symbol
_atom_site_fract_x
_atom_site_fract_y
_atom_site_fract_z
Hg1 Hg 0.0000 0.1707 0.2581
La1 La 0.0000 0.6623 0.0000
Hg2 Hg 0.5000 0.8321 0.2541
Hg3 Hg 0.5000 0.8321 0.7459
Hg4 Hg 0.0000 0.1707 0.7419
Hg5 Hg 0.0000 0.6800 0.5000
Hg6 Hg 0.5000 0.3068 0.0000
Ca1 Ca 0.5000 0.3452 0.5000
# - M_tot (μB per cell) = 0.00
# - ΔE to the lowest computed polymorph (kJ/mol of formula units) = 16
# - volume (Å³ per cell) = 206.4
# - energy of formation from the pure elements (eV per atom) = -0.40
# - space-group type = No. 25